Record 1
DFT (PBE-GGA) results for a relaxed structure of Tb5Bi4H3.

Geometry as CIF:
```
data_Tb5Bi4H3
_cell_length_a 16.8718
_cell_length_b 4.3336
_cell_length_c 11.8432
_cell_angle_alpha 90.00
_cell_angle_beta 131.25
_cell_angle_gamma 90.00
_symmetry_space_group_name_H-M 'C 1 2/m 1'
_symmetry_Int_Tables_number 12
loop_
_symmetry_equiv_pos_as_xyz
'x,y,z'
'-x,-y,-z'
'-x,y,-z'
'x,-y,z'
'x+1/2,y+1/2,z'
'-x+1/2,-y+1/2,-z'
'-x+1/2,y+1/2,-z'
'x+1/2,-y+1/2,z'
loop_
_atom_site_label
_atom_site_type_symbol
_atom_site_fract_x
_atom_site_fract_y
_atom_site_fract_z
Tb1 Tb 0.0000 0.0000 0.0000
Tb2 Tb 0.1193 0.0000 0.7649
Tb3 Tb 0.1327 0.5000 0.3138
Bi1 Bi 0.1249 0.0000 0.5065
Bi2 Bi 0.1286 0.5000 0.9608
H1 H 0.0000 0.5000 0.0000
H2 H 0.1283 0.0000 0.2410
```

N(E_F) ... 0.52 states/eV per atom

Record 2
DFT (PBE-GGA) results for a relaxed structure of Tb3Bi3H2.

Geometry as CIF:
```
data_Tb3Bi3H2
_cell_length_a 4.0648
_cell_length_b 11.8055
_cell_length_c 15.6328
_cell_angle_alpha 90.00
_cell_angle_beta 90.00
_cell_angle_gamma 90.00
_symmetry_space_group_name_H-M 'C m c m'
_symmetry_Int_Tables_number 63
_symmetry_space_group_name_Hall '-C 2c 2'
loop_
_atom_site_label
_atom_site_type_symbol
_atom_site_fract_x
_atom_site_fract_y
_atom_site_fract_z
Tb1 Tb 0.0000 0.1481 0.0508
Tb2 Tb 0.0000 0.1510 0.7500
Bi1 Bi 0.0000 0.1295 0.2500
Bi2 Bi 0.0000 0.4380 0.1067
H1 H 0.0000 0.2723 0.5547
```

N(E_F) ... 0.47 states/eV per atom

no.,raw total energy (eV per cell)
1,-108.7
2,-148.9